Material: HfAlSeBr2
Method: DFT, PBE
State: optimized geometry

* polymorph energy (0 for the lowest one): 3.30 eV per formula unit
* space group: No. 123
* uncorrected formation energy: 0.17 eV per atom

Structure (POSCAR):
```
HfAlSeBr2
1.0
-0.9986 -4.8324 0.4449
4.5246 -0.7396 2.1223
-1.9649 0.8179 4.4740
Br Hf Al Se
2 1 1 1
Direct
0.0000 0.0000 0.5000 Br
0.5000 0.0000 0.0000 Br
0.5000 0.5000 0.5000 Hf
0.0000 0.0000 0.0000 Al
0.0000 0.5000 0.0000 Se
```